Record 1
## LaBe2Re (PBE)

Data for a relaxed structure of LaBe2Re.

Cell and atoms, written as POSCAR:
```
LaBe2Re
1.0
3.1472 0.0000 0.0000
0.0000 3.2009 0.0000
0.0000 0.0000 6.2601
La Be Re
1 2 1
Direct
0.0000 0.0000 0.0000 La
0.5000 0.5000 0.3396 Be
0.5000 0.5000 0.6604 Be
0.0000 0.0000 0.5000 Re
```

Output
**Energy of formation**: 130 meV/atom
**SG**: Pmmm, No. 47
**ΔE to the lowest computed polymorph**: 0.24 eV per formula unit

***

Record 2
## LaBe3Re (PBE)

Data for a relaxed structure of LaBe3Re.

Cell and atoms, written as POSCAR:
```
LaBe3Re
1.0
4.4164 0.0000 0.0000
0.0000 4.4164 0.0000
0.0000 0.0000 4.4164
La Be Re
1 3 1
Direct
0.0000 0.0000 0.0000 La
0.0000 0.5000 0.5000 Be
0.5000 0.0000 0.5000 Be
0.5000 0.5000 0.0000 Be
0.5000 0.5000 0.5000 Re
```

Output
**Energy of formation**: 183 meV/atom
**SG**: Pm-3m, No. 221
**ΔE to the lowest computed polymorph**: 0.00 eV per formula unit

***

- Which formula does entry 1 have?
  LaBe2Re

***

- What is the formula in the first record?
  LaBe2Re

***

- Among the records above, which one has the highest energy of formation?
  LaBe3Re

***

- Among the records above, which one has the highest ΔE to the lowest computed polymorph?
  LaBe2Re